# LaTeRh2 (GGA-PBE, optimized geometry)
data_LaTeRh2
_chemical_formula_sum 'La1 Te1 Rh2'
_space_group_name_H-M_alt 'P 1 2/m 1'
_space_group_IT_number 10
_cell_length_a 4.1025
_cell_length_b 4.1306
_cell_length_c 5.7015
_cell_angle_alpha 90.00
_cell_angle_beta 90.00
_cell_angle_gamma 90.00
loop_
_space_group_symop_operation_xyz
'x,y,z'
'-x,-y,-z'
'-x,y,-z'
'x,-y,z'
loop_
_atom_site_label
_atom_site_fract_x
_atom_site_fract_y
_atom_site_fract_z
La1 0.0000 0.0000 0.0000
Te1 0.5000 0.0000 0.5000
Rh1 0.4979 0.5000 0.2295
# Mass density (Mg/m³): 8.12
# Formation energy (no corrections) (eV per formula unit): -2.1
# DOS(E_F) (states/eV/atom): 1.155
# Relative energy among the computed polymorphs (meV/atom): 179

# La4Te3Rh (GGA-PBE, optimized geometry)
data_La4Te3Rh
_chemical_formula_sum 'La8 Te6 Rh2'
_space_group_name_H-M_alt 'P 1 2/c 1'
_space_group_IT_number 13
_cell_length_a 8.0150
_cell_length_b 9.0886
_cell_length_c 7.6329
_cell_angle_alpha 90.00
_cell_angle_beta 109.28
_cell_angle_gamma 90.00
loop_
_space_group_symop_operation_xyz
'x,y,z'
'-x,-y,-z'
'-x,y,-z+1/2'
'x,-y,z+1/2'
loop_
_atom_site_label
_atom_site_fract_x
_atom_site_fract_y
_atom_site_fract_z
La1 0.2168 0.1121 0.0085
La2 0.2342 0.3522 0.4797
Te1 0.0000 0.3792 0.7500
Te2 0.5000 0.1232 0.7500
Te3 0.5000 0.3821 0.2500
Rh1 0.0000 0.1229 0.2500
# Mass density (Mg/m³): 6.59
# Formation energy (no corrections) (eV per formula unit): -10.9
# DOS(E_F) (states/eV/atom): 0.917

# LaTeRh (GGA-PBE, optimized geometry)
data_LaTeRh
_chemical_formula_sum 'La1 Te1 Rh1'
_space_group_name_H-M_alt 'P 3 m 1'
_space_group_IT_number 156
_cell_length_a 4.5590
_cell_length_b 4.5590
_cell_length_c 4.1145
_cell_angle_alpha 90.00
_cell_angle_beta 90.00
_cell_angle_gamma 120.00
loop_
_space_group_symop_operation_xyz
'x,y,z'
'-y,x-y,z'
'-x+y,-x,z'
'-y,-x,z'
'-x+y,y,z'
'x,x-y,z'
loop_
_atom_site_label
_atom_site_fract_x
_atom_site_fract_y
_atom_site_fract_z
La1 0.0000 0.0000 0.0000
Te1 0.3333 0.6667 0.5085
Rh1 0.6667 0.3333 0.4489
# Mass density (Mg/m³): 8.28
# Formation energy (no corrections) (eV per formula unit): -3.5
# DOS(E_F) (states/eV/atom): 0.204

# LaTe2Rh (GGA-PBE, optimized geometry)
data_LaTe2Rh
_chemical_formula_sum 'La4 Te8 Rh4'
_space_group_name_H-M_alt 'I -4 2 d'
_space_group_IT_number 122
_space_group_name_Hall 'I -4 2bw'
_cell_length_a 6.6441
_cell_length_b 6.6441
_cell_length_c 12.7691
_cell_angle_alpha 90.00
_cell_angle_beta 90.00
_cell_angle_gamma 90.00
loop_
_atom_site_label
_atom_site_fract_x
_atom_site_fract_y
_atom_site_fract_z
La1 0.0000 0.0000 0.0000
Te1 0.1821 0.2500 0.6250
Rh1 0.0000 0.0000 0.5000
# Mass density (Mg/m³): 5.86
# Formation energy (no corrections) (eV per formula unit): -2.2
# DOS(E_F) (states/eV/atom): 1.649
# Relative energy among the computed polymorphs (meV/atom): 423

Q: What is the mass density in the first record?
A: 8.12 Mg/m³